Record 1
## ZrSc2Te (PBE)

Data for a relaxed ZrSc2Te crystal.

Output
- DFT total energy (eV per atom) = -6.45
- V (Å³/cell) = 99.94
- uncorrected formation energy (eV/atom) = -0.3620

POSCAR file:
```
ZrSc2Te
1.0
1.790 1.033 9.004
-1.790 1.033 9.004
0.000 -2.067 9.004
Zr Sc Te
1 2 1
Cartesian
0.000 0.000 0.000
0.000 0.000 6.560
0.000 0.000 11.414
0.000 0.000 22.504
```


Record 2
## CaTe2Au (PBE)

Data for a relaxed CaTe2Au crystal.

Output
- DFT total energy (eV per atom) = -3.30
- V (Å³/cell) = 107.25
- uncorrected formation energy (eV/atom) = -0.4104

POSCAR file:
```
CaTe2Au
1.0
0.000 3.771 3.771
3.771 0.000 3.771
3.771 3.771 0.000
Ca Te Au
1 2 1
Cartesian
0.000 0.000 0.000
1.885 1.885 1.885
5.656 5.656 5.656
3.771 3.771 3.771
```